TbCe3Zn8 | PBE | optimized geometry

Polymorph energy (0 for the lowest one)   0.000 eV per atom
Formation energy from the elements   -285 meV per atom
Electronic total energy   -108.12 eV for the cell shown

Lattice parameters (Å, degrees): 5.5061 5.5061 26.8279 90.00 90.00 120.00
Closest atoms and distances in Å follow each position.
Space group R3m (No. 160, hexagonal axes)
One atom of each set of equivalent atoms:
Tb: 0.0000 0.0000 0.0000  12 Zn 3.20-3.23, 4 Ce 3.38-3.42
Ce: 0.0000 0.0000 0.3799  12 Zn 3.16-3.28, 1 Ce 3.24, 3 Tb 3.42
Ce: 0.0000 0.0000 0.5006  12 Zn 3.23-3.25, 4 Ce 3.24-3.35
Ce: 0.0000 0.0000 0.8739  12 Zn 3.19-3.27, 3 Ce 3.35, 1 Tb 3.38
Zn: 0.0000 0.0000 0.1885  6 Zn 2.75-2.76
Zn: 0.0000 0.0000 0.6887  6 Zn 2.73
Zn: 0.0012 0.5006 0.9395  6 Zn 2.73-2.76
Zn: 0.1683 0.3366 0.7711  6 Zn 2.73-2.78


Pa2SbPtN5 | PBE | optimized geometry

E_form (uncorrected)   -0.428 eV per atom
Electronic total energy   -298.55 eV for the cell shown

Lattice parameters (Å, degrees): 3.5443 13.6782 10.5121 90.00 90.00 90.00
Closest atoms and distances in Å follow each position.
Space group Cmc2_1 (No. 36)
One atom of each set of equivalent atoms:
Pa: 0.0000 0.1034 0.0000  2 N 2.13-2.35
Pa: 0.0000 0.1330 0.5915  5 N 2.25-2.37
Sb: 0.0000 0.2052 0.3085  3 N 2.22
Pt: 0.0000 0.4898 0.7765  3 N 2.03-2.16
N: 0.0000 0.0383 0.4169  2 Pa 2.13-2.25, 2 Pt 2.34
N: 0.0000 0.2726 0.0380  3 Pa 2.26-2.35
N: 0.0000 0.3438 0.6980  1 Pt 2.16, 2 Sb 2.22
N: 0.0000 0.3649 0.3464  1 Pt 2.12, 1 Sb 2.22
N: 0.0000 0.4817 0.0872  1 Pt 2.03


YIn2Os | PBE | optimized geometry

Formation energy from the elements   80 meV per atom
Electronic total energy   -22.85 eV for the cell shown

Lattice parameters (Å, degrees): 3.6165 4.4557 5.8650 90.00 107.87 90.00
Closest atoms and distances in Å follow each position.
Space group Pm (No. 6)
One atom of each set of equivalent atoms:
Y: 0.0000 0.0000 0.0000  4 Os 3.01, 3 In 3.06-3.10
In: 0.2747 0.0000 0.5485  2 Os 2.75, 1 Y 3.06, 4 In 3.07
In: 0.6759 0.5000 0.3513  1 Os 2.87, 4 In 3.07
Os: 0.4210 0.5000 0.8379  3 In 2.75-2.87, 4 Y 3.01


MgAg2SbI | PBE | optimized geometry

Polymorph energy (0 for the lowest one)   0.125 eV per atom
E_form (uncorrected)   0.745 eV per atom
Electronic total energy   -9.24 eV for the cell shown

Lattice parameters (Å, degrees): 5.3238 5.3238 6.2283 90.00 90.00 90.00
Closest atoms and distances in Å follow each position.
Space group P4/mmm (No. 123)
One atom of each set of equivalent atoms:
Mg: 0.0000 0.0000 0.0000  4 Sb 3.76, 8 Ag 4.10
Ag: 0.0000 0.5000 0.5000  2 I 2.66
Sb: 0.5000 0.5000 0.0000  2 I 3.11
I: 0.5000 0.5000 0.5000  4 Ag 2.66


RuPb2F | PBE | optimized geometry

Polymorph energy (0 for the lowest one)   0.061 eV per atom
E_form (uncorrected)   -0.132 eV per atom
Electronic total energy   -76.37 eV for the cell shown

Lattice parameters (Å, degrees): 5.8031 5.8031 12.7864 90.00 90.00 90.00
Closest atoms and distances in Å follow each position.
Space group I-42d (No. 122)
One atom of each set of equivalent atoms:
Ru: 0.0000 0.0000 0.0000  4 Pb 2.61
Pb: 0.2462 0.2500 0.6250  2 F 2.59, 2 Ru 2.61
F: 0.0000 0.0000 0.5000  4 Pb 2.59


Tm2MgSi4Pt3 | PBE | optimized geometry

E_form (uncorrected)   -0.942 eV per atom
Electronic total energy   -59.77 eV for the cell shown

Lattice parameters (Å, degrees): 4.0473 4.0473 10.6862 90.00 90.00 90.00
Closest atoms and distances in Å follow each position.
Space group P-4m2 (No. 115)
One atom of each set of equivalent atoms:
Tm: 0.0000 0.5000 0.2489  8 Si 3.05-3.36, 6 Pt 3.16-3.34, 2 Mg 3.34
Mg: 0.5000 0.5000 0.0000  4 Si 2.58, 4 Pt 2.86
Si: 0.0000 0.0000 0.5000  4 Pt 2.43
Si: 0.0000 0.5000 0.8499  3 Pt 2.39-2.58, 2 Mg 2.58
Si: 0.5000 0.5000 0.5000  4 Pt 2.43
Pt: 0.0000 0.0000 0.0000  4 Si 2.58, 4 Mg 2.86
Pt: 0.0000 0.5000 0.6260  5 Si 2.39-2.43


SbW3 | PBE | optimized geometry

Polymorph energy (0 for the lowest one)   0.000 eV per atom
E_form (uncorrected)   0.479 eV per atom
Electronic total energy   -82.13 eV for the cell shown

Lattice parameters (Å, degrees): 3.3130 4.4260 9.2906 90.00 90.00 90.00
Closest atoms and distances in Å follow each position.
Space group Immm (No. 71)
One atom of each set of equivalent atoms:
Sb: 0.0000 0.0000 0.0000  8 W 2.76-2.88
W: 0.0000 0.0000 0.5000  4 Sb 2.76, 4 W 2.83
W: 0.0000 0.5000 0.2469  6 W 2.76-2.83, 2 Sb 2.88


MnAs2W | PBE | optimized geometry

Polymorph energy (0 for the lowest one)   0.182 eV per atom
Formation energy from the elements   193 meV per atom
Electronic total energy   -122.59 eV for the cell shown

Lattice parameters (Å, degrees): 6.1725 6.1725 6.1725 90.00 90.00 90.00
Closest atoms and distances in Å follow each position.
Space group Fm-3m (No. 225)
One atom of each set of equivalent atoms:
Mn: 0.0000 0.0000 0.0000  8 As 2.67
As: 0.2500 0.2500 0.2500  4 Mn 2.67, 4 W 2.67
W: 0.0000 0.0000 0.5000  8 As 2.67


LiCoCuRu | PBE | optimized geometry

Formation energy from the elements   211 meV per atom
Electronic total energy   -86.19 eV for the cell shown

Lattice parameters (Å, degrees): 5.7369 5.7369 5.7369 90.00 90.00 90.00
Closest atoms and distances in Å follow each position.
Space group F-43m (No. 216)
One atom of each set of equivalent atoms:
Li: 0.0000 0.0000 0.0000  4 Ru 2.48, 4 Cu 2.48
Co: 0.0000 0.0000 0.5000  4 Ru 2.48, 4 Cu 2.48
Cu: 0.2500 0.2500 0.2500  4 Li 2.48, 4 Co 2.48
Ru: 0.2500 0.2500 0.7500  4 Li 2.48, 4 Co 2.48


LiSi | PBE | optimized geometry

E_form (uncorrected)   -0.180 eV per atom
Electronic total energy   -7.70 eV for the cell shown

Lattice parameters (Å, degrees): 2.6046 2.6046 4.1229 90.00 90.00 90.00
Closest atoms and distances in Å follow each position.
Space group P4/mmm (No. 123)
One atom of each set of equivalent atoms:
Li: 0.0000 0.0000 0.0000  4 Li 2.60, 8 Si 2.76
Si: 0.5000 0.5000 0.5000  4 Si 2.60, 8 Li 2.76


DyGaHg2 | PBE | optimized geometry

Formation energy from the elements   -350 meV per atom
Electronic total energy   -9.63 eV for the cell shown

Lattice parameters (Å, degrees): 4.3795 4.3795 4.7641 90.00 90.00 90.00
Closest atoms and distances in Å follow each position.
Space group P4/mmm (No. 123)
One atom of each set of equivalent atoms:
Dy: 0.0000 0.0000 0.0000  4 Ga 3.10, 8 Hg 3.24
Ga: 0.5000 0.5000 0.0000  4 Dy 3.10, 8 Hg 3.24
Hg: 0.0000 0.5000 0.5000  4 Hg 3.10, 4 Ga 3.24, 4 Dy 3.24


AgTeP2Cl | PBE | optimized geometry

Polymorph energy (0 for the lowest one)   0.162 eV per atom
E_form (uncorrected)   0.940 eV per atom
Electronic total energy   -13.96 eV for the cell shown

Lattice parameters (Å, degrees): 5.0601 5.0601 5.3743 90.00 90.00 90.00
Closest atoms and distances in Å follow each position.
Space group P4/mmm (No. 123)
One atom of each set of equivalent atoms:
Ag: 0.0000 0.0000 0.0000  4 Cl 3.58, 8 P 3.69
Te: 0.5000 0.5000 0.5000  4 P 2.53, 2 Cl 2.69
P: 0.0000 0.5000 0.5000  2 Te 2.53
Cl: 0.5000 0.5000 0.0000  2 Te 2.69


FeSi2Pt | PBE | optimized geometry

E_form (uncorrected)   -0.280 eV per atom
Electronic total energy   -26.47 eV for the cell shown

Lattice parameters (Å, degrees): 4.1561 2.8839 4.7602 90.00 113.27 90.00
Closest atoms and distances in Å follow each position.
Space group P2/m (No. 10)
One atom of each set of equivalent atoms:
Fe: 0.0000 0.0000 0.0000  6 Si 2.46-2.53
Si: 0.5000 0.0000 0.5000  2 Fe 2.46, 4 Pt 2.53
Si: 0.5000 0.5000 0.0000  2 Pt 2.46, 4 Fe 2.53
Pt: 0.0000 0.5000 0.5000  6 Si 2.46-2.53


Li2AgHIr | PBE | optimized geometry

Electronic total energy   -19.70 eV for the cell shown

Lattice parameters (Å, degrees): 4.0807 4.0807 3.5462 90.00 90.00 90.00
Closest atoms and distances in Å follow each position.
Space group P4/mmm (No. 123)
One atom of each set of equivalent atoms:
Li: 0.0000 0.5000 0.0000  2 H 2.04
Ag: 0.0000 0.0000 0.5000  8 Li 2.70, 4 Ir 2.89
H: 0.5000 0.5000 0.0000  2 Ir 1.77
Ir: 0.5000 0.5000 0.5000  2 H 1.77


CaPuPd3 | PBE | optimized geometry

Formation energy from the elements   -484 meV per atom
Electronic total energy   -137.32 eV for the cell shown

Lattice parameters (Å, degrees): 9.3631 5.8285 8.1311 90.00 102.50 90.00
Closest atoms and distances in Å follow each position.
Space group P2_1/c (No. 14)
One atom of each set of equivalent atoms:
Ca: 0.1122 0.1435 0.1881  6 Pd 2.89-3.21
Pu: 0.3264 0.7077 0.4318  7 Pd 2.74-3.00
Pd: 0.1177 0.6246 0.0889  1 Pu 2.74, 1 Pd 2.77, 1 Ca 2.92
Pd: 0.3503 0.2179 0.4753  4 Pd 2.75-3.05, 3 Pu 2.88-3.00, 1 Ca 2.89
Pd: 0.4876 0.5036 0.7439  6 Pd 2.75-3.05, 3 Pu 2.77-2.91


AcPmHgAs | PBE | optimized geometry

Formation energy from the elements   -657 meV per atom
Electronic total energy   -65.75 eV for the cell shown

Lattice parameters (Å, degrees): 7.6976 7.6976 7.6976 90.00 90.00 90.00
Closest atoms and distances in Å follow each position.
Space group F-43m (No. 216)
One atom of each set of equivalent atoms:
Ac: 0.0000 0.0000 0.0000  4 Hg 3.33, 4 As 3.33
Pm: 0.0000 0.0000 0.5000  4 As 3.33, 4 Hg 3.33
Hg: 0.2500 0.2500 0.2500  4 Pm 3.33, 4 Ac 3.33
As: 0.2500 0.2500 0.7500  4 Ac 3.33, 4 Pm 3.33


HfMg2Hg2 | PBE | optimized geometry

Polymorph energy (0 for the lowest one)   0.000 eV per atom
Formation energy from the elements   -32 meV per atom
Electronic total energy   -27.81 eV for the cell shown

Lattice parameters (Å, degrees): 8.0220 8.0220 3.3263 90.00 90.00 90.00
Closest atoms and distances in Å follow each position.
Space group P4/mbm (No. 127)
One atom of each set of equivalent atoms:
Hf: 0.0000 0.0000 0.0000  4 Hg 3.10, 2 Hf 3.33, 8 Mg 3.43
Mg: 0.1629 0.3371 0.5000  6 Hg 2.79-2.95
Hg: 0.1392 0.6392 0.0000  6 Mg 2.79-2.95, 2 Hf 3.10


La6Pm12Sm | PBE | optimized geometry

Polymorph energy (0 for the lowest one)   0.000 eV per atom
Formation energy from the elements   121 meV per atom
Electronic total energy   -266.96 eV for the cell shown

Lattice parameters (Å, degrees): 12.3792 12.3792 15.2843 90.00 90.00 120.00
Closest atoms and distances in Å follow each position.
Space group R-3 (No. 148, hexagonal axes)
One atom of each set of equivalent atoms:
La: 0.0119 0.5915 0.1849  7 Pm 3.46-3.75, 1 Sm 3.62, 2 La 3.65
Pm: 0.0011 0.8301 0.3100  4 Pm 3.51-3.74, 4 La 3.57-3.75, 1 Sm 3.59
Pm: 0.0500 0.1958 0.9166  4 Pm 3.35-3.74, 3 La 3.46-3.49
Sm: 0.0000 0.0000 0.5000  6 Pm 3.59, 6 La 3.62


BeCdP2O | PBE | optimized geometry

Polymorph energy (0 for the lowest one)   0.000 eV per atom
E_form (uncorrected)   -0.119 eV per atom
Electronic total energy   -21.01 eV for the cell shown

Lattice parameters (Å, degrees): 5.1250 5.1250 2.9249 90.00 90.00 90.00
Closest atoms and distances in Å follow each position.
Space group P4/mmm (No. 123)
One atom of each set of equivalent atoms:
Be: 0.0000 0.0000 0.0000  2 O 1.46
Cd: 0.5000 0.5000 0.5000  2 Cd 2.92, 8 P 2.95
P: 0.0000 0.5000 0.0000  2 Be 2.56
O: 0.0000 0.0000 0.5000  2 Be 1.46


LiDyEr2 | PBE | optimized geometry

Polymorph energy (0 for the lowest one)   0.092 eV per atom
Formation energy from the elements   164 meV per atom
Electronic total energy   -14.99 eV for the cell shown

Lattice parameters (Å, degrees): 5.5256 5.5256 3.7337 90.00 90.00 90.00
Closest atoms and distances in Å follow each position.
Space group P4/mmm (No. 123)
One atom of each set of equivalent atoms:
Li: 0.0000 0.0000 0.0000  8 Er 3.33, 2 Li 3.73
Dy: 0.5000 0.5000 0.0000  8 Er 3.33, 2 Dy 3.73
Er: 0.0000 0.5000 0.5000  4 Dy 3.33, 4 Li 3.33, 2 Er 3.73


Ca2RhBr | PBE | optimized geometry

Polymorph energy (0 for the lowest one)   0.406 eV per atom
E_form (uncorrected)   -0.520 eV per atom
Electronic total energy   -30.21 eV for the cell shown

Lattice parameters (Å, degrees): 4.1199 4.1199 11.6087 90.00 90.00 90.00
Closest atoms and distances in Å follow each position.
Space group I-4m2 (No. 119)
One atom of each set of equivalent atoms:
Ca: 0.0000 0.0000 0.0000  4 Br 2.91
Ca: 0.0000 0.5000 0.2500  4 Rh 2.91
Rh: 0.0000 0.5000 0.7500  4 Ca 2.91
Br: 0.0000 0.0000 0.5000  4 Ca 2.91


Li2CeAl2Ga2 | PBE | optimized geometry

Formation energy from the elements   -401 meV per atom
Electronic total energy   -78.31 eV for the cell shown

Lattice parameters (Å, degrees): 4.3669 4.3669 23.3477 90.00 90.00 120.00
Closest atoms and distances in Å follow each position.
Space group R-3m (No. 166, hexagonal axes)
One atom of each set of equivalent atoms:
Li: 0.0000 0.0000 0.1458  1 Ga 2.70, 3 Li 2.70, 3 Al 2.71
Ce: 0.0000 0.0000 0.0000  6 Ga 3.03
Al: 0.0000 0.0000 0.4367  3 Ga 2.63, 3 Li 2.71
Ga: 0.0000 0.0000 0.2613  3 Al 2.63, 1 Li 2.70


MgP2Se2 | PBE | optimized geometry

E_form (uncorrected)   0.167 eV per atom
Electronic total energy   -37.09 eV for the cell shown

Lattice parameters (Å, degrees): 5.2468 5.2468 7.4347 90.00 90.00 90.00
Closest atoms and distances in Å follow each position.
Space group I4/mmm (No. 139)
One atom of each set of equivalent atoms:
Mg: 0.0000 0.0000 0.0000  2 P 2.58
P: 0.0000 0.0000 0.3468  1 P 2.28
Se: 0.0000 0.5000 0.2500  4 P 2.72


CsUNbO6 | PBE | optimized geometry

Polymorph energy (0 for the lowest one)   0.018 eV per atom
E_form (uncorrected)   -2.758 eV per atom
Electronic total energy   -307.13 eV for the cell shown

Lattice parameters (Å, degrees): 7.5591 7.9248 10.9000 90.00 90.00 90.00
Closest atoms and distances in Å follow each position.
Space group Imma (No. 74)
One atom of each set of equivalent atoms:
Cs: 0.0000 0.2500 0.1174  6 O 3.39-3.43
U: 0.0000 0.0000 0.5000  6 O 2.07-2.13
Nb: 0.2500 0.2500 0.7500  6 O 1.98-2.03
O: 0.0000 0.2500 0.4283  2 U 2.13
O: 0.0000 0.2500 0.8054  2 Nb 1.98
O: 0.1926 0.0679 0.6255  1 Nb 2.03, 1 U 2.07


Sc2BeGa2 | PBE | optimized geometry

Polymorph energy (0 for the lowest one)   0.072 eV per atom
Formation energy from the elements   -423 meV per atom
Electronic total energy   -49.11 eV for the cell shown

Lattice parameters (Å, degrees): 6.3648 6.3648 4.3213 90.00 90.00 90.00
Closest atoms and distances in Å follow each position.
Space group P4/mbm (No. 127)
One atom of each set of equivalent atoms:
Sc: 0.1690 0.3310 0.0000  6 Ga 2.75-2.94, 1 Sc 3.04
Be: 0.0000 0.0000 0.5000  4 Ga 2.45
Ga: 0.1419 0.6419 0.5000  2 Be 2.45, 1 Ga 2.55


no.,mass density (kg/m3)
1,7798
2,11065
3,9392
4,4597
5,8244
6,10053
7,16413
8,10976
9,8108
10,2080
11,11510
12,4017
13,9730
14,8857
15,9250
16,9429
17,9748
18,6689
19,4309
20,7341
21,4432
22,4488
23,3962
24,5695
25,4522